Entry 1:
Dy2VGe4Pt3: optimized geometry, PBE-GGA.

The energy relative to the elements comes out at -0.792 eV per atom.

The space group is P-4m2 (No. 115) and the conventional cell measures 4.1343, 4.1343 and 10.9208 Å, with angles of 90.00, 90.00 and 90.00 degrees. The distinct sites, in fractional coordinates, are Dy at (0.0000, 0.5000, 0.2462), V at (0.5000, 0.5000, 0.0000), Ge at (0.0000, 0.0000, 0.5000), Ge at (0.0000, 0.5000, 0.8643), Ge at (0.5000, 0.5000, 0.5000), Pt at (0.0000, 0.0000, 0.0000) and Pt at (0.0000, 0.5000, 0.6380).


Entry 2:
PrTm2Sc: optimized geometry, PBE-GGA.

The energy relative to the elements comes out at 0.049 eV per atom.

The space group is P4/mmm (No. 123) and the conventional cell measures 4.9029, 4.9029 and 4.9968 Å, with angles of 90.00, 90.00 and 90.00 degrees. The distinct sites, in fractional coordinates, are Pr at (0.0000, 0.0000, 0.0000), Tm at (0.0000, 0.5000, 0.5000) and Sc at (0.5000, 0.5000, 0.0000).


> Among the records above, which one has the lowest energy relative to the elements?

Dy2VGe4Pt3